Entry 1:
A relaxed Tl12BiPb2 crystal. Source: the Alexandria database, functional PBE-GGA.

Unit cell a=6.684 b=6.684 c=22.860 alpha=90.00 beta=90.00 gamma=90.00
Element x y z (fractional)
1 Pb 0.000 0.500 0.285
2 Tl 0.000 0.000 0.338
3 Tl 0.500 0.500 0.204
4 Tl 0.250 0.750 0.101
5 Bi 0.000 0.500 0.000
6 Tl 0.000 0.000 0.662
7 Pb 0.000 0.500 0.715
8 Tl 0.829 0.329 0.567
9 Tl 0.329 0.829 0.433
10 Tl 0.750 0.750 0.101
11 Tl 0.500 0.500 0.338
12 Tl 0.171 0.671 0.567
13 Tl 0.171 0.329 0.433
14 Tl 0.671 0.171 0.433
15 Tl 0.829 0.671 0.433
16 Tl 0.671 0.829 0.567
17 Tl 0.250 0.250 0.899
18 Tl 0.500 0.500 0.796
19 Pb 0.500 0.000 0.715
20 Tl 0.500 0.500 0.662
21 Pb 0.500 0.000 0.285
22 Tl 0.000 0.000 0.796
23 Tl 0.750 0.750 0.899
24 Bi 0.500 0.000 0.000
25 Tl 0.329 0.171 0.567
26 Tl 0.000 0.000 0.204
27 Tl 0.750 0.250 0.101
28 Tl 0.750 0.250 0.899
29 Tl 0.250 0.250 0.101
30 Tl 0.250 0.750 0.899

Summary:
space-group type = No. 125
formation enthalpy at 0 K = 2.55 kcal/mol of atoms

Entry 2:
A relaxed La2Nd3Rh2 crystal. Source: the Alexandria database, functional PBE-GGA.

Unit cell a=3.916 b=6.528 c=9.314 alpha=113.00 beta=90.00 gamma=107.46
Element x y z (fractional)
1 Nd 0.616 0.231 0.422
2 Nd 0.500 0.000 0.000
3 La 0.170 0.340 0.809
4 Rh 0.180 0.360 0.242
5 Rh 0.820 0.640 0.758
6 Nd 0.384 0.769 0.578
7 La 0.830 0.660 0.191

Summary:
space-group type = No. 12
formation enthalpy at 0 K = -11.07 kcal/mol of atoms

Entry 3:
A relaxed TlInSb2O crystal. Source: the Alexandria database, functional PBE-GGA.

Unit cell a=5.908 b=4.120 c=5.908 alpha=90.00 beta=90.00 gamma=90.00
Element x y z (fractional)
1 Sb 0.500 0.000 0.000
2 Sb 0.000 0.000 0.500
3 O 0.000 0.500 0.000
4 Tl 0.000 0.000 0.000
5 In 0.500 0.500 0.500

Summary:
space-group type = No. 123
formation energy without anion corrections = 0.421 eV/atom

Entry 4:
A relaxed YCr2W crystal. Source: the Alexandria database, functional PBE-GGA.

Unit cell a=4.952 b=4.952 c=5.128 alpha=72.45 beta=72.45 gamma=36.35
Element x y z (fractional)
1 Y 0.254 0.254 0.244
2 Cr 0.041 0.041 0.903
3 W 0.465 0.465 0.598
4 Cr 0.741 0.741 0.755

Summary:
space-group type = No. 8
formation enthalpy at 0 K = 13.09 kcal/mol of atoms
relative energy among the computed polymorphs = 192 meV per atom

Entry 5:
A relaxed CrHgRu2 crystal. Source: the Alexandria database, functional PBE-GGA.

Unit cell a=5.361 b=5.361 c=5.361 alpha=149.17 beta=128.54 gamma=61.19
Each line ends with the local moment (μB).
Element x y z (fractional)
1 Ru 0.532 0.532 0.000  -0.20
2 Ru 0.968 0.968 0.000  -0.20
3 Hg 0.250 0.750 0.500  -0.01
4 Cr 0.750 0.250 0.500  1.29

Summary:
space-group type = No. 71
formation enthalpy at 0 K = 10.54 kcal/mol of atoms

Entry 6:
A relaxed TbCrB crystal. Source: the Alexandria database, functional PBE-GGA.

Unit cell a=3.240 b=5.501 c=11.164 alpha=87.55 beta=81.66 gamma=72.87
Element x y z (fractional)
1 Cr 0.133 0.000 0.734
2 Tb 0.124 0.751 0.000
3 Cr 0.617 0.500 0.766
4 Tb 0.874 0.251 0.500
5 B 0.421 0.000 0.158
6 Tb 0.876 0.249 0.000
7 Cr 0.883 0.500 0.234
8 B 0.171 0.500 0.658
9 Tb 0.626 0.749 0.500
10 B 0.579 0.000 0.842
11 Cr 0.867 0.000 0.266
12 B 0.329 0.500 0.342

Summary:
space-group type = No. 70
formation enthalpy at 0 K = 13.61 kcal/mol of atoms

Number 1: uncorrected energy -76.073 eV for the cell shown. Number 2: uncorrected energy -42.223 eV for the cell shown. Number 3: uncorrected energy -16.201 eV for the cell shown. Number 4: uncorrected energy -36.393 eV for the cell shown. Number 5: uncorrected energy -26.648 eV for the cell shown. Number 6: uncorrected energy -76.643 eV for the cell shown.